(1)
{
  "formula": "Cs4Pr6OsI13",
  "functional": "PBE",
  "state": "relaxed",
  "cell": [[-8.024, -0.841, 6.126], [-5.195, -5.451, -6.776], [9.948, -6.426, 4.478]],
  "species": ["I", "I", "I", "I", "I", "I", "I", "I", "I", "I", "I", "I", "I", "Pr", "Pr", "Pr", "Pr", "Pr", "Pr", "Os", "Cs", "Cs", "Cs", "Cs"],
  "frac_coords": [[0.646, 0.973, 0.641], [0.631, 0.631, 0.777], [0.369, 0.369, 0.223], [0.973, 0.646, 0.641], [0.999, 0.333, 0.830], [0.027, 0.354, 0.359], [0.674, 0.326, 0.000], [0.000, 0.000, 0.500], [0.326, 0.674, 0.000], [0.667, 0.001, 0.170], [0.354, 0.027, 0.359], [0.001, 0.667, 0.170], [0.333, 0.999, 0.830], [0.984, 0.700, 0.915], [0.700, 0.984, 0.915], [0.989, 0.989, 0.771], [0.011, 0.011, 0.229], [0.016, 0.300, 0.085], [0.300, 0.016, 0.085], [0.000, 0.000, 0.000], [0.323, 0.323, 0.718], [0.283, 0.717, 0.500], [0.717, 0.283, 0.500], [0.677, 0.677, 0.282]],
  "sg": "C2/m (12)",
  "crystal_system": "monoclinic",
  "mass_density_g_cm3": 4.8,
  "final_energy_ev_per_atom": -3.973
}

(2)
{
  "formula": "Cs2PaI6",
  "functional": "PBE",
  "state": "relaxed",
  "cell": [[-2.681, -5.134, 6.356], [-6.524, 5.453, 1.285], [1.155, -3.336, -7.841]],
  "species": ["I", "I", "I", "I", "I", "I", "Pa", "Cs", "Cs"],
  "frac_coords": [[0.747, 0.747, 0.000], [0.754, 0.754, 0.508], [0.246, 0.754, 0.000], [0.246, 0.246, 0.492], [0.253, 0.253, 0.000], [0.754, 0.246, 0.000], [0.000, 0.000, 0.000], [0.250, 0.750, 0.500], [0.750, 0.250, 0.500]],
  "sg": "I4/mmm (139)",
  "crystal_system": "tetragonal",
  "mass_density_g_cm3": 4.6,
  "final_energy_ev_per_atom": -3.566
}

(3)
{
  "formula": "Cs2ScPdI6",
  "functional": "PBE",
  "state": "relaxed",
  "cell": [[2.643, -7.655, 1.533], [3.100, -1.833, 7.413], [-4.276, -4.838, 5.123]],
  "species": ["Pd", "I", "I", "I", "I", "I", "I", "Cs", "Cs", "Sc"],
  "frac_coords": [[0.500, 0.500, 0.500], [0.271, 0.228, 0.752], [0.752, 0.271, 0.228], [0.772, 0.248, 0.728], [0.728, 0.772, 0.248], [0.228, 0.752, 0.271], [0.248, 0.728, 0.772], [0.251, 0.251, 0.251], [0.749, 0.749, 0.749], [0.000, 0.000, 0.000]],
  "sg": "R-3 (148)",
  "crystal_system": "trigonal",
  "mass_density_g_cm3": 4.9,
  "final_energy_ev_per_atom": -3.309
}